A geometry-optimized Ho3CdIn3AgPt structure, computed with PBE-GGA.

The calculation puts the final energy at -4.16 eV/atom.

```
data_Ho3CdIn3AgPt
_chemical_formula_sum 'Ho3 Cd1 In3 Ag1 Pt1'
_symmetry_space_group_name_H-M 'P -6'
_symmetry_Int_Tables_number 174
_cell_length_a 7.9134
_cell_length_b 7.9134
_cell_length_c 3.8635
_cell_angle_alpha 90.00
_cell_angle_beta 90.00
_cell_angle_gamma 120.00
loop_
_symmetry_equiv_pos_as_xyz
'x,y,z'
'-x+y,-x,-z'
'-y,x-y,z'
'x,y,-z'
'-x+y,-x,z'
'-y,x-y,-z'
loop_
_atom_site_label
_atom_site_type_symbol
_atom_site_fract_x
_atom_site_fract_y
_atom_site_fract_z
_atom_site_occupancy
Ho1 Ho 0.0851 0.3633 0.0000 1
Cd1 Cd 0.0000 0.0000 0.5000 1
In1 In 0.3997 0.3273 0.5000 1
Ag1 Ag 0.6667 0.3333 0.0000 1
Pt1 Pt 0.3333 0.6667 0.5000 1
```